## HgWSe3 (PBE)

Data for an optimized crystal structure of HgWSe3.

a = 4.983 Å, b = 4.983 Å, c = 4.983 Å
α = 90.00°, β = 90.00°, γ = 90.00°
Space group Pm-3m (No. 221)
Unique sites:
Hg 0.000 0.000 0.000 (multiplicity 1)
W 0.500 0.500 0.500 (multiplicity 1)
Se 0.000 0.500 0.500 (multiplicity 3)

Values from the calculation:
The density comes out at 8.3 Mg/m³. The calculation puts the raw total energy at -22.8 eV for the cell shown. The calculation puts the raw formation energy at 18.3 kJ/mol of atoms. The volume comes out at 24.74 Å³/atom. As for the crystal system: cubic.



## Li13Mg3 (PBE)

Data for an optimized crystal structure of Li13Mg3.

a = 8.434 Å, b = 8.714 Å, c = 8.804 Å
α = 90.00°, β = 90.00°, γ = 90.00°
Space group Amm2 (No. 38)
Unique sites:
Li 0.000 0.000 0.000 (multiplicity 2)
Li 0.000 0.000 0.503 (multiplicity 2)
Li 0.000 0.247 0.751 (multiplicity 4)
Li 0.249 0.250 0.001 (multiplicity 8)
Li 0.250 0.000 0.751 (multiplicity 4)
Li 0.500 0.000 0.500 (multiplicity 2)
Li 0.500 0.248 0.252 (multiplicity 4)
Mg 0.244 0.000 0.253 (multiplicity 4)
Mg 0.500 0.000 0.000 (multiplicity 2)

Values from the calculation:
The density comes out at 0.8 Mg/m³. The formation energy comes out at -37.3 kJ/mol of formula units. The calculation puts the raw total energy at -60.1 eV for the cell shown. The volume comes out at 20.22 Å³/atom. As for the crystal system: orthorhombic.



## NaMnRh2Au (PBE)

Data for an optimized crystal structure of NaMnRh2Au.

a = 4.541 Å, b = 4.541 Å, c = 4.465 Å
α = 90.00°, β = 90.00°, γ = 90.00°
Space group P4/mmm (No. 123)
Unique sites:
Na 0.000 0.000 0.000 (multiplicity 1)
Mn 0.000 0.000 0.500 (multiplicity 1)
Rh 0.000 0.500 0.000 (multiplicity 2)
Au 0.500 0.500 0.500 (multiplicity 1)

Values from the calculation:
The density comes out at 8.7 Mg/m³. The formation energy comes out at 708.1 kJ/mol of formula units. The calculation puts the raw total energy at -21.1 eV for the cell shown. The volume comes out at 18.42 Å³/atom. As for the crystal system: tetragonal.



## CaLa2Sn2 (PBE)

Data for an optimized crystal structure of CaLa2Sn2.

a = 9.367 Å, b = 9.367 Å, c = 3.700 Å
α = 90.00°, β = 90.00°, γ = 90.00°
Space group P4/mbm (No. 127)
Unique sites:
Ca 0.000 0.000 0.000 (multiplicity 2)
La 0.125 0.375 0.000 (multiplicity 4)
Sn 0.175 0.675 0.500 (multiplicity 4)

Values from the calculation:
The density comes out at 5.7 Mg/m³. The formation energy comes out at -266.9 kJ/mol of formula units. The calculation puts the raw total energy at -45.3 eV for the cell shown. The volume comes out at 32.47 Å³/atom. As for the crystal system: tetragonal.



## BeGeWBr2 (PBE)

Data for an optimized crystal structure of BeGeWBr2.

a = 4.494 Å, b = 4.494 Å, c = 5.262 Å
α = 90.00°, β = 90.00°, γ = 90.00°
Space group P4/mmm (No. 123)
Unique sites:
Be 0.000 0.000 0.000 (multiplicity 1)
Ge 0.500 0.500 0.500 (multiplicity 1)
W 0.000 0.000 0.500 (multiplicity 1)
Br 0.000 0.500 0.000 (multiplicity 2)

Values from the calculation:
The density comes out at 6.6 Mg/m³. The calculation puts the raw total energy at -18.8 eV for the cell shown. The calculation puts the raw formation energy at 112.3 kJ/mol of atoms. The volume comes out at 21.25 Å³/atom. As for the crystal system: tetragonal.



## Sr2TeOsC (PBE)

Data for an optimized crystal structure of Sr2TeOsC.

a = 5.628 Å, b = 5.628 Å, c = 3.949 Å
α = 90.00°, β = 90.00°, γ = 90.00°
Space group P4/mmm (No. 123)
Unique sites:
Sr 0.000 0.500 0.000 (multiplicity 2)
Te 0.000 0.000 0.500 (multiplicity 1)
Os 0.500 0.500 0.500 (multiplicity 1)
C 0.500 0.500 0.000 (multiplicity 1)

Values from the calculation:
The density comes out at 6.7 Mg/m³. The calculation puts the raw total energy at -28.3 eV for the cell shown. The calculation puts the raw formation energy at -26.7 kJ/mol of atoms. The volume comes out at 25.01 Å³/atom. As for the crystal system: tetragonal.



Record-wise total magnetic moment values, in μB per cell: 0.0, 0.0, 5.4, 0.0, 2.4, 0.9